No. 1
A geometry-optimized CrAs3O structure. Source: Alexandria, functional PBE+U. Values from VASP.

Structure (Quantum ESPRESSO input):
```
&SYSTEM
  ibrav = 0, nat = 5, ntyp = 3
/
ATOMIC_SPECIES
O 16.00 O.upf
As 74.92 As.upf
Cr 52.00 Cr.upf
CELL_PARAMETERS angstrom
4.331 0.000 0.000
0.000 4.331 0.000
0.000 0.000 4.331
ATOMIC_POSITIONS crystal
O 0.000 0.000 0.000
As 0.000 0.500 0.000
Cr 0.500 0.500 0.500
As 0.000 0.000 0.500
As 0.500 0.000 0.000
```

Results
E above lowest polymorph   0 meV per atom

No. 2
A geometry-optimized Cr3AsO structure. Source: Alexandria, functional PBE+U. Values from VASP.

Structure (Quantum ESPRESSO input):
```
&SYSTEM
  ibrav = 0, nat = 5, ntyp = 3
/
ATOMIC_SPECIES
Cr 52.00 Cr.upf
As 74.92 As.upf
O 16.00 O.upf
CELL_PARAMETERS angstrom
4.877 0.000 0.000
0.000 4.877 0.000
0.000 0.000 4.877
ATOMIC_POSITIONS crystal
Cr 0.500 0.000 0.000
Cr 0.000 0.000 0.500
Cr 0.000 0.500 0.000
As 0.000 0.000 0.000
O 0.500 0.500 0.500
```

Results
E above lowest polymorph   0 meV per atom

No. 3
A geometry-optimized Cr2AsO structure. Source: Alexandria, functional PBE+U. Values from VASP.

Structure (Quantum ESPRESSO input):
```
&SYSTEM
  ibrav = 0, nat = 8, ntyp = 3
/
ATOMIC_SPECIES
O 16.00 O.upf
Cr 52.00 Cr.upf
As 74.92 As.upf
CELL_PARAMETERS angstrom
5.963 0.000 0.000
0.000 5.963 0.000
2.981 2.981 3.623
ATOMIC_POSITIONS crystal
O 0.500 0.500 0.000
Cr 0.550 0.125 0.250
As 0.750 0.250 0.500
Cr 0.200 0.625 0.250
Cr 0.375 0.450 0.750
O 0.250 0.750 0.500
Cr 0.875 0.800 0.750
As 0.000 0.000 0.000
```

Results
E above lowest polymorph   0 meV per atom

No. 4
A geometry-optimized CrAs2O8 structure. Source: Alexandria, functional PBE+U. Values from VASP.

Structure (Quantum ESPRESSO input):
```
&SYSTEM
  ibrav = 0, nat = 11, ntyp = 3
/
ATOMIC_SPECIES
Cr 52.00 Cr.upf
O 16.00 O.upf
As 74.92 As.upf
CELL_PARAMETERS angstrom
-5.626 3.225 -0.924
-1.847 -4.094 -3.041
-0.873 0.010 5.353
ATOMIC_POSITIONS crystal
Cr 0.500 0.000 0.000
O 0.674 0.839 0.677
O 0.326 0.161 0.323
O 0.326 0.161 0.839
O 0.326 0.677 0.839
O 0.019 0.667 0.333
O 0.674 0.323 0.161
As 0.759 0.667 0.333
As 0.241 0.333 0.667
O 0.674 0.839 0.161
O 0.981 0.333 0.667
```

Results
E   -5.926 eV/atom

No. 5
A geometry-optimized CrAsO5 structure. Source: Alexandria, functional PBE+U. Values from VASP.

Structure (Quantum ESPRESSO input):
```
&SYSTEM
  ibrav = 0, nat = 28, ntyp = 3
/
ATOMIC_SPECIES
As 74.92 As.upf
O 16.00 O.upf
Cr 52.00 Cr.upf
CELL_PARAMETERS angstrom
6.599 0.000 0.000
0.000 7.269 0.000
0.000 0.000 7.545
ATOMIC_POSITIONS crystal
As 0.758 0.081 0.859
As 0.258 0.419 0.141
O 0.201 0.741 0.493
O 0.299 0.259 0.993
Cr 0.949 0.286 0.481
Cr 0.051 0.786 0.019
O 0.954 0.918 0.826
O 0.799 0.241 0.007
O 0.277 0.673 0.866
O 0.693 0.585 0.869
O 0.454 0.582 0.174
Cr 0.551 0.714 0.981
O 0.777 0.827 0.134
O 0.723 0.173 0.634
O 0.046 0.418 0.674
O 0.193 0.915 0.131
O 0.307 0.085 0.631
Cr 0.449 0.214 0.519
O 0.461 0.444 0.624
O 0.223 0.327 0.366
O 0.546 0.082 0.326
As 0.242 0.581 0.641
O 0.039 0.556 0.124
O 0.701 0.759 0.507
As 0.742 0.919 0.359
O 0.961 0.056 0.376
O 0.807 0.415 0.369
O 0.539 0.944 0.876
```

Results
E   -6.300 eV/atom

No. 6
A geometry-optimized Cr3AsO structure. Source: Alexandria, functional PBE+U. Values from VASP.

Structure (Quantum ESPRESSO input):
```
&SYSTEM
  ibrav = 0, nat = 5, ntyp = 3
/
ATOMIC_SPECIES
O 16.00 O.upf
Cr 52.00 Cr.upf
As 74.92 As.upf
CELL_PARAMETERS angstrom
4.113 0.000 0.000
0.000 4.113 0.000
0.000 0.000 4.113
ATOMIC_POSITIONS crystal
O 0.000 0.000 0.000
Cr 0.000 0.000 0.500
As 0.500 0.500 0.500
Cr 0.000 0.500 0.000
Cr 0.500 0.000 0.000
```

Results
E above lowest polymorph   111 meV per atom

No. 7
A geometry-optimized CrAs2O structure. Source: Alexandria, functional PBE+U. Values from VASP.

Structure (Quantum ESPRESSO input):
```
&SYSTEM
  ibrav = 0, nat = 8, ntyp = 3
/
ATOMIC_SPECIES
As 74.92 As.upf
Cr 52.00 Cr.upf
O 16.00 O.upf
CELL_PARAMETERS angstrom
5.552 0.000 0.000
0.000 5.552 0.000
2.776 2.776 4.675
ATOMIC_POSITIONS crystal
As 0.589 0.125 0.250
As 0.161 0.625 0.250
Cr 0.750 0.250 0.500
As 0.875 0.839 0.750
As 0.375 0.411 0.750
Cr 0.000 0.000 0.000
O 0.250 0.750 0.500
O 0.500 0.500 0.000
```

Results
E   -4.758 eV/atom

No. 8
A geometry-optimized CrAsP2O structure. Source: Alexandria, functional PBE+U. Values from VASP.

Structure (Quantum ESPRESSO input):
```
&SYSTEM
  ibrav = 0, nat = 5, ntyp = 4
/
ATOMIC_SPECIES
As 74.92 As.upf
O 16.00 O.upf
P 30.97 P.upf
Cr 52.00 Cr.upf
CELL_PARAMETERS angstrom
-1.978 3.174 3.006
-3.753 -2.925 0.617
1.653 -1.547 2.722
ATOMIC_POSITIONS crystal
As 0.500 0.500 0.500
O 0.000 0.000 0.500
P 0.000 0.500 0.000
P 0.500 0.000 0.000
Cr 0.000 0.000 0.000
```

Results
E above lowest polymorph   0 meV per atom

No. 9
A geometry-optimized CrAsP2O structure. Source: Alexandria, functional PBE+U. Values from VASP.

Structure (Quantum ESPRESSO input):
```
&SYSTEM
  ibrav = 0, nat = 5, ntyp = 4
/
ATOMIC_SPECIES
Cr 52.00 Cr.upf
O 16.00 O.upf
P 30.97 P.upf
As 74.92 As.upf
CELL_PARAMETERS angstrom
-2.918 -3.878 -0.457
0.574 -0.990 4.738
-2.849 2.052 0.774
ATOMIC_POSITIONS crystal
Cr 0.500 0.500 0.500
O 0.000 0.000 0.500
P 0.500 0.000 0.000
P 0.000 0.500 0.000
As 0.000 0.000 0.000
```

Results
E above lowest polymorph   203 meV per atom

No. 10
A geometry-optimized Pa3CrAs2O6 structure. Source: Alexandria, functional PBE+U. Values from VASP.

Structure (Quantum ESPRESSO input):
```
&SYSTEM
  ibrav = 0, nat = 12, ntyp = 4
/
ATOMIC_SPECIES
Pa 231.04 Pa.upf
O 16.00 O.upf
Cr 52.00 Cr.upf
As 74.92 As.upf
CELL_PARAMETERS angstrom
-4.042 1.129 3.664
3.125 -4.739 4.907
0.405 7.080 0.842
ATOMIC_POSITIONS crystal
Pa 0.500 0.500 0.500
O 0.278 0.221 0.841
O 0.278 0.620 0.841
O 0.579 0.830 0.659
Pa 0.500 0.000 0.500
O 0.722 0.779 0.159
Cr 0.500 0.000 0.000
As 0.131 0.713 0.426
O 0.722 0.380 0.159
As 0.869 0.287 0.574
O 0.421 0.170 0.341
Pa 0.000 0.500 0.000
```

Results
E   -8.538 eV/atom

No. 11
A geometry-optimized PaCrAs2O8 structure. Source: Alexandria, functional PBE+U. Values from VASP.

Structure (Quantum ESPRESSO input):
```
&SYSTEM
  ibrav = 0, nat = 12, ntyp = 4
/
ATOMIC_SPECIES
O 16.00 O.upf
Pa 231.04 Pa.upf
As 74.92 As.upf
Cr 52.00 Cr.upf
CELL_PARAMETERS angstrom
-4.417 0.237 3.973
-0.187 -4.866 -3.412
5.129 -0.099 3.006
ATOMIC_POSITIONS crystal
O 0.321 0.129 0.808
Pa 0.250 0.750 0.500
O 0.321 0.514 0.192
O 0.486 0.679 0.808
As 0.750 0.250 0.500
O 0.756 0.071 0.684
O 0.387 0.071 0.316
O 0.929 0.613 0.684
Cr 0.000 0.000 0.000
O 0.871 0.679 0.192
As 0.500 0.500 0.000
O 0.929 0.244 0.316
```

Results
E   -7.335 eV/atom

No. 12
A geometry-optimized PaCrAsO6 structure. Source: Alexandria, functional PBE+U. Values from VASP.

Structure (Quantum ESPRESSO input):
```
&SYSTEM
  ibrav = 0, nat = 18, ntyp = 4
/
ATOMIC_SPECIES
O 16.00 O.upf
As 74.92 As.upf
Pa 231.04 Pa.upf
Cr 52.00 Cr.upf
CELL_PARAMETERS angstrom
-3.219 3.750 -1.979
2.368 -3.471 -3.269
-6.901 -5.487 0.829
ATOMIC_POSITIONS crystal
O 0.021 0.336 0.625
O 0.336 0.315 0.375
As 0.000 0.000 0.000
Pa 0.667 0.333 0.750
O 0.336 0.021 0.125
O 0.979 0.315 0.125
Cr 0.333 0.667 0.750
O 0.664 0.979 0.875
O 0.685 0.664 0.125
O 0.979 0.664 0.375
O 0.664 0.685 0.625
O 0.315 0.979 0.625
As 0.000 0.000 0.500
Cr 0.667 0.333 0.250
O 0.685 0.021 0.375
O 0.315 0.336 0.875
O 0.021 0.685 0.875
Pa 0.333 0.667 0.250
```

Results
E   -7.771 eV/atom

For each record above, in turn, the calculated magnetic moment values are 0.2178, 2.6000, 1.7500, 0.0006, 0.1398, 0.1570, 0.0010, 0.3319, 0.7515, 0.2523, 0.4108, 0.2484 μB/atom.